Entry from the Alexandria database: crystalline Mo2RhAu at its relaxed geometry (GGA-PBE).

abc: 4.028 4.028 7.766
angles: 90.00 90.00 90.00
Element x y z (fractional)
Mo  0.000  0.000  0.000
Mo  0.000  0.500  0.250
Mo  0.500  0.000  0.750
Mo  0.500  0.500  0.500
Rh  0.000  0.500  0.750
Rh  0.500  0.000  0.250
Au  0.000  0.000  0.500
Au  0.500  0.500  0.000

Values from the calculation:
Density, g/cm³: 12.962
Calculated volume, Å³ per cell: 126
DFT formation energy, eV per atom: 0.1535

=====

Entry from the Alexandria database: crystalline HfTh4 at its relaxed geometry (GGA-PBE).

abc: 5.649 5.649 5.649
angles: 90.00 90.00 90.00
Element x y z (fractional)
Hf  0.000  0.000  0.000
Th  0.000  0.000  0.500
Th  0.000  0.500  0.000
Th  0.500  0.000  0.000
Th  0.500  0.500  0.500

Values from the calculation:
Density, g/cm³: 10.194
Calculated volume, Å³ per cell: 180
DFT formation energy, eV per atom: 0.8362

=====

Entry from the Alexandria database: crystalline Li4NdPu at its relaxed geometry (GGA-PBE).

abc: 5.863 5.863 5.863
angles: 60.00 60.00 60.00
Element x y z (fractional)
Li  0.376  0.376  0.376
Li  0.376  0.376  0.873
Li  0.376  0.873  0.376
Li  0.873  0.376  0.376
Nd  0.750  0.750  0.750
Pu  0.000  0.000  0.000

Values from the calculation:
Density, g/cm³: 4.847
Calculated volume, Å³ per cell: 143
DFT formation energy, eV per atom: 0.2162

=====

Entry from the Alexandria database: crystalline YZrSe2 at its relaxed geometry (GGA-PBE).

abc: 6.922 4.002 6.860
angles: 90.00 109.73 90.00
Element x y z (fractional)
Y  0.000  0.000  0.000
Y  0.500  0.500  0.000
Zr  0.000  0.500  0.500
Zr  0.500  0.000  0.500
Se  0.247  0.000  0.740
Se  0.253  0.500  0.260
Se  0.747  0.500  0.740
Se  0.753  0.000  0.260

Values from the calculation:
Formation energy from raw total energies, eV per atom: -1.381
Density, g/cm³: 6.276
Calculated volume, Å³ per cell: 179

=====

Entry from the Alexandria database: crystalline La5Sm3Dy2 at its relaxed geometry (GGA-PBE).

abc: 9.280 9.280 10.238
angles: 108.49 108.49 107.41
Element x y z (fractional)
La  0.023  0.977  0.750
La  0.134  0.377  0.759
La  0.232  0.768  0.750
La  0.277  0.723  0.250
La  0.377  0.134  0.259
La  0.623  0.866  0.741
La  0.723  0.277  0.750
La  0.768  0.232  0.250
La  0.866  0.623  0.241
La  0.977  0.023  0.250
Sm  0.028  0.277  0.058
Sm  0.277  0.028  0.558
Sm  0.482  0.518  0.250
Sm  0.518  0.482  0.750
Sm  0.723  0.972  0.442
Sm  0.972  0.723  0.942
Dy  0.221  0.466  0.439
Dy  0.466  0.221  0.939
Dy  0.534  0.779  0.061
Dy  0.779  0.534  0.561

Values from the calculation:
Density, g/cm³: 6.875
Calculated volume, Å³ per cell: 710
DFT formation energy, eV per atom: 0.1520

=====

Entry from the Alexandria database: crystalline GaIrC2 at its relaxed geometry (GGA-PBE).

abc: 4.655 4.655 9.497
angles: 90.00 90.00 90.00
Element x y z (fractional)
Ga  0.000  0.000  0.000
Ga  0.000  0.500  0.250
Ga  0.500  0.000  0.750
Ga  0.500  0.500  0.500
Ir  0.000  0.000  0.500
Ir  0.000  0.500  0.750
Ir  0.500  0.000  0.250
Ir  0.500  0.500  0.000
C  0.231  0.250  0.625
C  0.250  0.731  0.875
C  0.250  0.769  0.375
C  0.269  0.250  0.125
C  0.731  0.750  0.125
C  0.750  0.231  0.375
C  0.750  0.269  0.875
C  0.769  0.750  0.625

Values from the calculation:
Density, g/cm³: 9.229
Calculated volume, Å³ per cell: 206
DFT formation energy, eV per atom: 0.7451

=====

Entry from the Alexandria database: crystalline Ca2MnP3Ir4 at its relaxed geometry (GGA-PBE).

abc: 4.062 4.062 9.966
angles: 90.00 90.00 90.00
Element x y z (fractional)
Ca  0.000  0.500  0.249
Ca  0.500  0.000  0.751
Mn  0.500  0.500  0.000
P  0.000  0.000  0.000
P  0.000  0.500  0.635
P  0.500  0.000  0.365
Ir  0.000  0.000  0.500
Ir  0.000  0.500  0.867
Ir  0.500  0.000  0.133
Ir  0.500  0.500  0.500

Values from the calculation:
Density, g/cm³: 10.066
Calculated volume, Å³ per cell: 164
DFT formation energy, eV per atom: -0.7156

=====

Entry from the Alexandria database: crystalline BaMg2HgPd at its relaxed geometry (GGA-PBE).

abc: 5.093 5.093 5.456
angles: 90.00 90.00 90.00
Element x y z (fractional)
Ba  0.000  0.000  0.000
Mg  0.000  0.500  0.500
Mg  0.500  0.000  0.500
Hg  0.500  0.500  0.000
Pd  0.500  0.500  0.500

Values from the calculation:
Density, g/cm³: 5.784
Calculated volume, Å³ per cell: 142
DFT formation energy, eV per atom: -0.3534